[1]
{
  "formula": "CaZn6GaCu",
  "functional": "PBE",
  "state": "optimized geometry",
  "cell": [[-3.396, 4.490, 5.490], [3.396, -4.490, 5.490], [3.396, 4.490, -5.490]],
  "species": ["Ca", "Ca", "Zn", "Zn", "Zn", "Zn", "Zn", "Zn", "Zn", "Zn", "Zn", "Zn", "Zn", "Zn", "Ga", "Ga", "Cu", "Cu"],
  "frac_coords": [[0.450, 0.200, 0.250], [0.550, 0.800, 0.750], [0.126, 0.433, 0.311], [0.126, 0.815, 0.693], [0.174, 0.924, 0.250], [0.243, 0.493, 0.750], [0.378, 0.185, 0.811], [0.378, 0.567, 0.193], [0.622, 0.433, 0.807], [0.622, 0.815, 0.189], [0.757, 0.507, 0.250], [0.826, 0.076, 0.750], [0.874, 0.185, 0.307], [0.874, 0.567, 0.689], [0.000, 0.000, 0.500], [0.000, 0.500, 0.000], [0.000, 0.000, 0.000], [0.500, 0.000, 0.500]],
  "spacegroup": "No. 74",
  "m_tot_mub_per_cell": 0.0,
  "ef_mev_per_atom": 17,
  "vol_a3_per_cell": 335
}

***

[2]
{
  "formula": "AlFeRh2",
  "functional": "PBE",
  "state": "optimized geometry",
  "cell": [[2.963, 0.000, 0.000], [0.000, 2.963, 0.000], [0.000, 0.000, 6.200]],
  "species": ["Al", "Fe", "Rh", "Rh"],
  "frac_coords": [[0.000, 0.000, 0.000], [0.500, 0.500, 0.244], [0.000, 0.000, 0.469], [0.500, 0.500, 0.774]],
  "spacegroup": "No. 99",
  "m_tot_mub_per_cell": 3.5,
  "ef_mev_per_atom": -314,
  "vol_a3_per_cell": 54
}